Record 1
First-principles (GGA-PBE) data for a relaxed La3Sm3Tl2In crystal, as listed in Alexandria.

Values from the calculation:
Total DFT energy (no corrections): -4.3180 eV per atom
DFT formation energy: -272 meV/atom

Geometry as CIF:
```
data_La3Sm3Tl2In
_space_group_name_H-M_alt 'P -6 2 m'
_space_group_IT_number 189
_space_group_name_Hall 'P -6 -2'
_cell_length_a 9.3007
_cell_length_b 9.3007
_cell_length_c 3.8477
_cell_angle_alpha 90.00
_cell_angle_beta 90.00
_cell_angle_gamma 120.00
loop_
_atom_site_label
_atom_site_type_symbol
_atom_site_fract_x
_atom_site_fract_y
_atom_site_fract_z
La1 La 0.0000 0.7136 0.0000
Sm1 Sm 0.0000 0.3859 0.5000
Tl1 Tl 0.3333 0.6667 0.0000
In1 In 0.0000 0.0000 0.5000
```

***

Record 2
First-principles (GGA-PBE) data for a relaxed LaSmTm2In4 crystal, as listed in Alexandria.

Values from the calculation:
Total DFT energy (no corrections): -4.1544 eV per atom
DFT formation energy: -462 meV/atom

Geometry as CIF:
```
data_LaSmTm2In4
_space_group_name_H-M_alt 'R -3 m'
_space_group_IT_number 166
_space_group_name_Hall '-R 3 2"'
_cell_length_a 5.3790
_cell_length_b 5.3790
_cell_length_c 26.4433
_cell_angle_alpha 90.00
_cell_angle_beta 90.00
_cell_angle_gamma 120.00
loop_
_atom_site_label
_atom_site_type_symbol
_atom_site_fract_x
_atom_site_fract_y
_atom_site_fract_z
La1 La 0.0000 0.0000 0.0000
Sm1 Sm 0.0000 0.0000 0.5000
Tm1 Tm 0.0000 0.0000 0.2499
In1 In 0.0000 0.0000 0.1264
In2 In 0.0000 0.0000 0.3765
```

***

Record 3
First-principles (GGA-PBE) data for a relaxed La2SmTmIn2 crystal, as listed in Alexandria.

Values from the calculation:
Total DFT energy (no corrections): -4.4415 eV per atom
DFT formation energy: -354 meV/atom

Geometry as CIF:
```
data_La2SmTmIn2
_space_group_name_H-M_alt 'P m c 21'
_space_group_IT_number 26
_cell_length_a 5.187
_cell_length_b 10.252
_cell_length_c 6.927
_cell_angle_alpha 90.00
_cell_angle_beta 90.00
_cell_angle_gamma 90.00
loop_
_space_group_symop_operation_xyz
'x,y,z'
'-x,-y,z+1/2'
'-x,y,z'
'x,-y,z+1/2'
loop_
_atom_site_label
_atom_site_type_symbol
_atom_site_fract_x
_atom_site_fract_y
_atom_site_fract_z
La1 La 0.000 0.058 0.000
La2 La 0.500 0.179 0.234
Sm1 Sm 0.500 0.458 0.878
Tm1 Tm 0.000 0.310 0.596
In1 In 0.000 0.384 0.142
In2 In 0.500 0.151 0.716
```

***

Record 4
First-principles (GGA-PBE) data for a relaxed LaSmYIn crystal, as listed in Alexandria.

Values from the calculation:
Excess energy over the best structure of this formula in the dataset: 0.000 eV/atom
Total DFT energy (no corrections): -4.8622 eV per atom
DFT formation energy: -150 meV/atom

Geometry as CIF:
```
data_LaSmYIn
_space_group_name_H-M_alt 'F -4 3 m'
_space_group_IT_number 216
_space_group_name_Hall 'F -4 2 3'
_cell_length_a 7.918
_cell_length_b 7.918
_cell_length_c 7.918
_cell_angle_alpha 90.00
_cell_angle_beta 90.00
_cell_angle_gamma 90.00
loop_
_atom_site_label
_atom_site_type_symbol
_atom_site_fract_x
_atom_site_fract_y
_atom_site_fract_z
La1 La 0.000 0.000 0.000
Sm1 Sm 0.000 0.000 0.500
Y1 Y 0.250 0.250 0.750
In1 In 0.250 0.250 0.250
```

***

Record 5
First-principles (GGA-PBE) data for a relaxed La2Sm6Y3In crystal, as listed in Alexandria.

Values from the calculation:
Total DFT energy (no corrections): -5.0853 eV per atom
DFT formation energy: -60 meV/atom

Geometry as CIF:
```
data_La2Sm6Y3In
_space_group_name_H-M_alt 'C 1 2/m 1'
_space_group_IT_number 12
_cell_length_a 6.203
_cell_length_b 10.755
_cell_length_c 11.934
_cell_angle_alpha 90.00
_cell_angle_beta 100.02
_cell_angle_gamma 90.00
loop_
_space_group_symop_operation_xyz
'x,y,z'
'-x,-y,-z'
'-x,y,-z'
'x,-y,z'
'x+1/2,y+1/2,z'
'-x+1/2,-y+1/2,-z'
'-x+1/2,y+1/2,-z'
'x+1/2,-y+1/2,z'
loop_
_atom_site_label
_atom_site_type_symbol
_atom_site_fract_x
_atom_site_fract_y
_atom_site_fract_z
La1 La 0.000 0.166 0.000
Sm1 Sm 0.241 0.500 0.748
Sm2 Sm 0.246 0.338 0.251
Y1 Y 0.000 0.000 0.500
Y2 Y 0.000 0.333 0.500
In1 In 0.000 0.500 0.000
```

***

Record 6
First-principles (GGA-PBE) data for a relaxed La2SmYIn2 crystal, as listed in Alexandria.

Values from the calculation:
Total DFT energy (no corrections): -4.7881 eV per atom
DFT formation energy: -369 meV/atom

Geometry as CIF:
```
data_La2SmYIn2
_space_group_name_H-M_alt 'P m c 21'
_space_group_IT_number 26
_cell_length_a 5.214
_cell_length_b 10.325
_cell_length_c 6.898
_cell_angle_alpha 90.00
_cell_angle_beta 90.00
_cell_angle_gamma 90.00
loop_
_space_group_symop_operation_xyz
'x,y,z'
'-x,-y,z+1/2'
'-x,y,z'
'x,-y,z+1/2'
loop_
_atom_site_label
_atom_site_type_symbol
_atom_site_fract_x
_atom_site_fract_y
_atom_site_fract_z
La1 La 0.000 0.058 0.000
La2 La 0.500 0.179 0.226
Sm1 Sm 0.500 0.459 0.870
Y1 Y 0.000 0.310 0.592
In1 In 0.000 0.383 0.132
In2 In 0.500 0.148 0.712
```

***

Record 7
First-principles (GGA-PBE) data for a relaxed La2Sm2YIn5 crystal, as listed in Alexandria.

Values from the calculation:
Total DFT energy (no corrections): -4.3148 eV per atom
DFT formation energy: -370 meV/atom

Geometry as CIF:
```
data_La2Sm2YIn5
_space_group_name_H-M_alt 'P 4/m b m'
_space_group_IT_number 127
_space_group_name_Hall '-P 4 2ab'
_cell_length_a 11.169
_cell_length_b 11.169
_cell_length_c 4.691
_cell_angle_alpha 90.00
_cell_angle_beta 90.00
_cell_angle_gamma 90.00
loop_
_atom_site_label
_atom_site_type_symbol
_atom_site_fract_x
_atom_site_fract_y
_atom_site_fract_z
La1 La 0.176 0.324 0.000
Sm1 Sm 0.128 0.628 0.000
Y1 Y 0.000 0.000 0.000
In1 In 0.000 0.500 0.500
In2 In 0.059 0.809 0.500
```

***

Record 8
First-principles (GGA-PBE) data for a relaxed LaSmYIn crystal, as listed in Alexandria.

Values from the calculation:
Excess energy over the best structure of this formula in the dataset: 0.036 eV/atom
Total DFT energy (no corrections): -4.8259 eV per atom
DFT formation energy: -114 meV/atom

Geometry as CIF:
```
data_LaSmYIn
_space_group_name_H-M_alt 'F -4 3 m'
_space_group_IT_number 216
_space_group_name_Hall 'F -4 2 3'
_cell_length_a 7.834
_cell_length_b 7.834
_cell_length_c 7.834
_cell_angle_alpha 90.00
_cell_angle_beta 90.00
_cell_angle_gamma 90.00
loop_
_atom_site_label
_atom_site_type_symbol
_atom_site_fract_x
_atom_site_fract_y
_atom_site_fract_z
La1 La 0.000 0.000 0.000
Sm1 Sm 0.250 0.250 0.250
Y1 Y 0.250 0.250 0.750
In1 In 0.000 0.000 0.500
```